Here is a relaxed structure of CuAsF2 from Alexandria via LeMat-Bulk. Energies are from PBE.

Cell: 7.6328 7.6328 4.5767 Å, 90.00 90.00 90.00°
Last column: nearest neighbours and their distance in Å.
Element x y z (fractional)
Cu  0.0000  0.0000  0.0000  2 As 2.29
Cu  0.0000  0.5000  0.2500  2 As 2.29
Cu  0.5000  0.0000  0.7500  2 As 2.29
Cu  0.5000  0.5000  0.5000  2 As 2.29
As  0.0000  0.0000  0.5000  4 F 2.16, 2 Cu 2.29
As  0.0000  0.5000  0.7500  4 F 2.16, 2 Cu 2.29
As  0.5000  0.0000  0.2500  4 F 2.16, 2 Cu 2.29
As  0.5000  0.5000  0.0000  4 F 2.16, 2 Cu 2.29
F  0.1109  0.7500  0.6250  2 As 2.16
F  0.2500  0.1109  0.3750  2 As 2.16
F  0.2500  0.3891  0.8750  2 As 2.16
F  0.3891  0.7500  0.1250  2 As 2.16
F  0.6109  0.2500  0.1250  2 As 2.16
F  0.7500  0.6109  0.8750  2 As 2.16
F  0.7500  0.8891  0.3750  2 As 2.16
F  0.8891  0.2500  0.6250  2 As 2.16

## Properties
- energy (eV per cell) = -63.86
- theoretical density (g/cm3) = 4.4
- N(E_F) (states/eV/f.u.) = 0.0
- energy above the lowest structure with this stoichiometry (eV/atom) = 0.060
- spin magnetization (μB per cell) = 0.00
- ΔE_f (raw) (meV per atom) = -869.3

---

Here is a relaxed structure of CuAs2F6 from Alexandria via LeMat-Bulk. Energies are from PBE.

Cell: 7.5698 7.5698 5.6632 Å, 90.49 90.49 83.45°
Last column: nearest neighbours and their distance in Å.
Element x y z (fractional)
Cu  0.0795  0.9205  0.7500  6 F 1.99-2.16
Cu  0.9205  0.0795  0.2500  6 F 1.99-2.16
As  0.0796  0.4247  0.6883  2 F 1.78-1.90
As  0.4247  0.0796  0.1883  2 F 1.78-1.90
As  0.5753  0.9204  0.8117  2 F 1.78-1.90
As  0.9204  0.5753  0.3117  2 F 1.78-1.90
F  0.0332  0.1603  0.5435  2 Cu 1.99-2.16, 1 As 2.22
F  0.1182  0.6445  0.8328  1 As 1.90
F  0.1603  0.0332  0.0435  2 Cu 1.99-2.16, 1 As 2.22
F  0.2891  0.4002  0.5454  1 As 1.78
F  0.3555  0.8818  0.6672  1 As 1.90
F  0.4002  0.2891  0.0454  1 As 1.78
F  0.5998  0.7109  0.9546  1 As 1.78
F  0.6445  0.1182  0.3328  1 As 1.90
F  0.7109  0.5998  0.4546  1 As 1.78
F  0.8397  0.9668  0.9565  2 Cu 1.99-2.16, 1 As 2.22
F  0.8818  0.3555  0.1672  1 As 1.90
F  0.9668  0.8397  0.4565  2 Cu 1.99-2.16, 1 As 2.22

## Properties
- energy (eV per cell) = -78.92
- theoretical density (g/cm3) = 3.4
- N(E_F) (states/eV/f.u.) = 4.4
- spin magnetization (μB per cell) = 2.10
- ΔE_f (raw) (meV per atom) = -1648.7

---

Here is a relaxed structure of Cu3AsF from Alexandria via LeMat-Bulk. Energies are from PBE.

Cell: 4.1485 4.1485 4.1485 Å, 90.00 90.00 90.00°
Last column: nearest neighbours and their distance in Å.
Element x y z (fractional)
Cu  0.0000  0.0000  0.5000  2 F 2.07
Cu  0.0000  0.5000  0.0000  2 F 2.07
Cu  0.5000  0.0000  0.0000  2 F 2.07
As  0.5000  0.5000  0.5000  12 Cu 2.93
F  0.0000  0.0000  0.0000  6 Cu 2.07

## Properties
- energy (eV per cell) = -18.41
- theoretical density (g/cm3) = 6.6
- N(E_F) (states/eV/f.u.) = 2.1
- energy above the lowest structure with this stoichiometry (eV/atom) = 0.000
- spin magnetization (μB per cell) = 0.00
- ΔE_f (raw) (meV per atom) = 79.9

---

Here is a relaxed structure of CuAsF5 from Alexandria via LeMat-Bulk. Energies are from PBE.

Cell: 5.4523 5.4523 7.2141 Å, 97.40 97.40 100.73°
Last column: nearest neighbours and their distance in Å.
Element x y z (fractional)
Cu  0.0000  0.0000  0.0000  4 F 1.90-1.95
Cu  0.0000  0.0000  0.5000  4 F 1.90-1.95
As  0.4278  0.5722  0.7500  2 F 1.78
As  0.5722  0.4278  0.2500  2 F 1.78
F  0.0716  0.9284  0.2500  2 Cu 1.90
F  0.1698  0.6093  0.8710  1 As 1.78
F  0.1932  0.3453  0.5255  1 Cu 1.95, 1 As 2.04
F  0.3453  0.1932  0.0255  1 Cu 1.95, 1 As 2.04
F  0.3907  0.8302  0.6290  1 As 1.78
F  0.6093  0.1698  0.3710  1 As 1.78
F  0.6547  0.8068  0.9745  1 Cu 1.95, 1 As 2.04
F  0.8068  0.6547  0.4745  1 Cu 1.95, 1 As 2.04
F  0.8302  0.3907  0.1290  1 As 1.78
F  0.9284  0.0716  0.7500  2 Cu 1.90

## Properties
- energy (eV per cell) = -61.80
- theoretical density (g/cm3) = 3.8
- N(E_F) (states/eV/f.u.) = 0.1
- spin magnetization (μB per cell) = 2.01
- ΔE_f (raw) (meV per atom) = -1828.2

---

Here is a relaxed structure of CuAs2F8 from Alexandria via LeMat-Bulk. Energies are from PBE.

Cell: 6.0980 6.0980 4.9680 Å, 98.29 98.29 77.82°
Last column: nearest neighbours and their distance in Å.
Element x y z (fractional)
Cu  0.0000  0.0000  0.0000  2 F 1.83
As  0.2809  0.2809  0.4880  3 F 1.80-1.84
As  0.7191  0.7191  0.5120  3 F 1.80-1.84
F  0.0009  0.6750  0.7092  1 As 1.84
F  0.1231  0.1231  0.7563  1 Cu 1.83
F  0.3250  0.9991  0.2908  1 As 1.84
F  0.3952  0.3952  0.2355  1 As 1.80
F  0.6048  0.6048  0.7645  1 As 1.80
F  0.6750  0.0009  0.7092  1 As 1.84
F  0.8769  0.8769  0.2437  1 Cu 1.83
F  0.9991  0.3250  0.2908  1 As 1.84

## Properties
- energy (eV per cell) = -49.19
- theoretical density (g/cm3) = 3.4
- spin magnetization (μB per cell) = 0.92
- ΔE_f (raw) (meV per atom) = -1892.7

---

Here is a relaxed structure of CuAs3F from Alexandria via LeMat-Bulk. Energies are from PBE.

Cell: 4.6724 4.6724 4.6724 Å, 90.00 90.00 90.00°
Last column: nearest neighbours and their distance in Å.
Element x y z (fractional)
Cu  0.0000  0.0000  0.0000  6 As 2.34
As  0.0000  0.0000  0.5000  2 Cu 2.34
As  0.0000  0.5000  0.0000  2 Cu 2.34
As  0.5000  0.0000  0.0000  2 Cu 2.34
F  0.5000  0.5000  0.5000  12 As 3.30

## Properties
- energy (eV per cell) = -17.84
- theoretical density (g/cm3) = 5.0
- N(E_F) (states/eV/f.u.) = 4.0
- energy above the lowest structure with this stoichiometry (eV/atom) = 0.000
- spin magnetization (μB per cell) = 0.00
- ΔE_f (raw) (meV per atom) = 414.9

---

Here is a relaxed structure of Cu3AsF from Alexandria via LeMat-Bulk. Energies are from PBE.

Cell: 4.5165 4.5165 4.5165 Å, 90.00 90.00 90.00°
Last column: nearest neighbours and their distance in Å.
Element x y z (fractional)
Cu  0.0000  0.0000  0.5000  2 As 2.26
Cu  0.0000  0.5000  0.0000  2 As 2.26
Cu  0.5000  0.0000  0.0000  2 As 2.26
As  0.0000  0.0000  0.0000  6 Cu 2.26
F  0.5000  0.5000  0.5000  12 Cu 3.19

## Properties
- energy (eV per cell) = -18.20
- theoretical density (g/cm3) = 5.1
- N(E_F) (states/eV/f.u.) = 8.1
- energy above the lowest structure with this stoichiometry (eV/atom) = 0.041
- spin magnetization (μB per cell) = 0.75
- ΔE_f (raw) (meV per atom) = 121.1

---

Here is a relaxed structure of CuAs3F from Alexandria via LeMat-Bulk. Energies are from PBE.

Cell: 4.5101 4.5101 4.5101 Å, 90.00 90.00 90.00°
Last column: nearest neighbours and their distance in Å.
Element x y z (fractional)
Cu  0.0000  0.0000  0.0000  12 As 3.19
As  0.0000  0.5000  0.5000  2 F 2.26
As  0.5000  0.0000  0.5000  2 F 2.26
As  0.5000  0.5000  0.0000  2 F 2.26
F  0.5000  0.5000  0.5000  6 As 2.26

## Properties
- energy (eV per cell) = -17.28
- theoretical density (g/cm3) = 5.6
- N(E_F) (states/eV/f.u.) = 3.3
- energy above the lowest structure with this stoichiometry (eV/atom) = 0.113
- spin magnetization (μB per cell) = 0.00
- ΔE_f (raw) (meV per atom) = 528.1

---

Here is a relaxed structure of CuAsF2 from Alexandria via LeMat-Bulk. Energies are from PBE.

Cell: 3.0167 3.0167 21.1979 Å, 90.00 90.00 120.00°
Last column: nearest neighbours and their distance in Å.
Element x y z (fractional)
Cu  0.0000  0.0000  0.0000  6 F 2.25
Cu  0.3333  0.6667  0.6667  6 F 2.25
Cu  0.6667  0.3333  0.3333  6 F 2.25
As  0.0000  0.0000  0.5000  2 F 2.11
As  0.3333  0.6667  0.1667  2 F 2.11
As  0.6667  0.3333  0.8333  2 F 2.11
F  0.0000  0.0000  0.4005  1 As 2.11, 3 Cu 2.25
F  0.0000  0.0000  0.5995  1 As 2.11, 3 Cu 2.25
F  0.3333  0.6667  0.0671  1 As 2.11, 3 Cu 2.25
F  0.3333  0.6667  0.2662  1 As 2.11, 3 Cu 2.25
F  0.6667  0.3333  0.7338  1 As 2.11, 3 Cu 2.25
F  0.6667  0.3333  0.9329  1 As 2.11, 3 Cu 2.25

## Properties
- energy (eV per cell) = -48.61
- theoretical density (g/cm3) = 5.3
- N(E_F) (states/eV/f.u.) = 1.6
- energy above the lowest structure with this stoichiometry (eV/atom) = 0.000
- spin magnetization (μB per cell) = 0.00
- ΔE_f (raw) (meV per atom) = -928.9